# 1
PtRhS | GGA-PBE | relaxed

For the energy above the lowest structure with this stoichiometry, the calculation gives 16 meV/atom. The value obtained for the uncorrected formation energy is -0.120 eV/atom. As for the crystal system: monoclinic.

It has space group Pm (No. 6), with a = 5.0994 Å, b = 3.4048 Å, c = 6.0992 Å, α = 90.00°, β = 112.57° and γ = 90.00°. The asymmetric unit holds Pt at (0.0000, 0.0000, 0.0000), Pt at (0.0852, 0.5000, 0.3691), Rh at (0.4937, 0.5000, 0.1770), Rh at (0.5243, 0.0000, 0.5664), S at (0.5222, 0.0000, 0.9450) and S at (0.8455, 0.5000, 0.6100).

# 2
Li2PuThPt2 | GGA-PBE | relaxed

The value obtained for the formation energy is -634 meV/atom. As for the crystal system: trigonal.

It has space group P-3m1 (No. 164), with a = 4.4507 Å, b = 4.4507 Å, c = 6.9784 Å, α = 90.00°, β = 90.00° and γ = 120.00°. The asymmetric unit holds Li at (0.3333, 0.6667, 0.2778), Pu at (0.0000, 0.0000, 0.5000), Th at (0.0000, 0.0000, 0.0000) and Pt at (0.3333, 0.6667, 0.7488).

# 3
BaThZnO4 | GGA-PBE | relaxed

The value obtained for the uncorrected formation energy is -2.589 eV/atom. As for the crystal system: orthorhombic.

It has space group Imma (No. 74), with a = 6.5604 Å, b = 7.3442 Å, c = 10.7418 Å, α = 90.00°, β = 90.00° and γ = 90.00°. The asymmetric unit holds Ba at (0.0000, 0.2500, 0.1681), Th at (0.0000, 0.0000, 0.5000), Zn at (0.2500, 0.2500, 0.7500), O at (0.0000, 0.0651, 0.7175) and O at (0.2107, 0.2500, 0.4790).

# 4
Tm5Ga3 | GGA-PBE | relaxed

For the energy above the lowest structure with this stoichiometry, the calculation gives 1 meV/atom. The value obtained for the formation energy is -500 meV/atom. As for the crystal system: monoclinic.

It has space group C2/m (No. 12), with a = 8.4936 Å, b = 14.6384 Å, c = 6.3882 Å, α = 90.00°, β = 91.51° and γ = 90.00°. The asymmetric unit holds Tm at (0.0000, 0.1448, 0.0000), Tm at (0.0000, 0.1854, 0.5000), Tm at (0.1261, 0.3802, 0.2359), Tm at (0.2313, 0.5000, 0.7285), Ga at (0.0908, 0.0000, 0.6878) and Ga at (0.1997, 0.2978, 0.7894).

# 5
LaNb2CdCo | GGA-PBE | relaxed

The value obtained for the formation energy is 432 meV/atom. As for the crystal system: tetragonal.

It has space group P4/mmm (No. 123), with a = 4.7196 Å, b = 4.7196 Å, c = 5.0046 Å, α = 90.00°, β = 90.00° and γ = 90.00°. The asymmetric unit holds La at (0.0000, 0.0000, 0.0000), Nb at (0.0000, 0.5000, 0.5000), Cd at (0.5000, 0.5000, 0.0000) and Co at (0.5000, 0.5000, 0.5000).

# 6
TbHfSe3 | GGA-PBE | relaxed

The value obtained for the uncorrected formation energy is -1.468 eV/atom. As for the crystal system: orthorhombic.

It has space group Pnma (No. 62), with a = 8.9284 Å, b = 3.8804 Å, c = 13.7519 Å, α = 90.00°, β = 90.00° and γ = 90.00°. The asymmetric unit holds Tb at (0.0279, 0.2500, 0.1643), Hf at (0.1624, 0.7500, 0.4594), Se at (0.0074, 0.7500, 0.6216), Se at (0.1539, 0.7500, 0.0256) and Se at (0.2013, 0.2500, 0.7858).

# 7
AuNClF2 | GGA-PBE | relaxed

For the energy above the lowest structure with this stoichiometry, the calculation gives 0 meV/atom. The value obtained for the uncorrected formation energy is 0.555 eV/atom. As for the crystal system: tetragonal.

It has space group P4/mmm (No. 123), with a = 4.2771 Å, b = 4.2771 Å, c = 4.0190 Å, α = 90.00°, β = 90.00° and γ = 90.00°. The asymmetric unit holds Au at (0.0000, 0.0000, 0.0000), N at (0.0000, 0.0000, 0.5000), Cl at (0.5000, 0.5000, 0.5000) and F at (0.0000, 0.5000, 0.0000).

# 8
BaCaMg2Pd | GGA-PBE | relaxed

For the energy above the lowest structure with this stoichiometry, the calculation gives 140 meV/atom. The value obtained for the formation energy is -165 meV/atom. As for the crystal system: tetragonal.

It has space group P4/mmm (No. 123), with a = 5.3328 Å, b = 5.3328 Å, c = 5.8466 Å, α = 90.00°, β = 90.00° and γ = 90.00°. The asymmetric unit holds Ba at (0.0000, 0.0000, 0.0000), Ca at (0.5000, 0.5000, 0.0000), Mg at (0.0000, 0.5000, 0.5000) and Pd at (0.0000, 0.0000, 0.5000).